# 1
# Ce6GaIr3 PBE-GGA optimized geometry
data_Ce6GaIr3
_space_group_name_H-M_alt 'P 1 21/m 1'
_space_group_IT_number 11
_cell_length_a 11.381
_cell_length_b 4.178
_cell_length_c 11.829
_cell_angle_alpha 90.00
_cell_angle_beta 108.12
_cell_angle_gamma 90.00
loop_
_space_group_symop_operation_xyz
'x,y,z'
'-x,-y,-z'
'-x,y+1/2,-z'
'x,-y+1/2,z'
loop_
_atom_site_label
_atom_site_type_symbol
_atom_site_fract_x
_atom_site_fract_y
_atom_site_fract_z
Ce1 Ce 0.033 0.250 0.396
Ce2 Ce 0.110 0.250 0.947
Ce3 Ce 0.227 0.750 0.260
Ce4 Ce 0.287 0.750 0.758
Ce5 Ce 0.379 0.250 0.542
Ce6 Ce 0.413 0.750 0.095
Ga1 Ga 0.445 0.250 0.297
Ir1 Ir 0.050 0.250 0.166
Ir2 Ir 0.196 0.750 0.496
Ir3 Ir 0.347 0.250 0.920
# total moment	0.39	μB/atom
# energy of formation from the pure elements	-50.4	kJ per mole of atoms


# 2
# BaYRhO2 PBE-GGA optimized geometry
data_BaYRhO2
_space_group_name_H-M_alt 'P 4/m m m'
_space_group_IT_number 123
_space_group_name_Hall '-P 4 2'
_cell_length_a 4.581
_cell_length_b 4.581
_cell_length_c 5.332
_cell_angle_alpha 90.00
_cell_angle_beta 90.00
_cell_angle_gamma 90.00
loop_
_atom_site_label
_atom_site_type_symbol
_atom_site_fract_x
_atom_site_fract_y
_atom_site_fract_z
Ba1 Ba 0.000 0.000 0.000
Y1 Y 0.500 0.500 0.500
Rh1 Rh 0.000 0.000 0.500
O1 O 0.000 0.500 0.000
# uncorrected formation energy	-1.2	eV per formula unit
# total moment	0.09	μB/atom


# 3
# Er6Si2Se3S PBE-GGA optimized geometry
data_Er6Si2Se3S
_space_group_name_H-M_alt 'C 1 2/m 1'
_space_group_IT_number 12
_cell_length_a 17.672
_cell_length_b 4.032
_cell_length_c 8.116
_cell_angle_alpha 90.00
_cell_angle_beta 103.95
_cell_angle_gamma 90.00
loop_
_space_group_symop_operation_xyz
'x,y,z'
'-x,-y,-z'
'-x,y,-z'
'x,-y,z'
'x+1/2,y+1/2,z'
'-x+1/2,-y+1/2,-z'
'-x+1/2,y+1/2,-z'
'x+1/2,-y+1/2,z'
loop_
_atom_site_label
_atom_site_type_symbol
_atom_site_fract_x
_atom_site_fract_y
_atom_site_fract_z
Er1 Er 0.006 0.000 0.243
Er2 Er 0.164 0.500 0.095
Er3 Er 0.169 0.500 0.574
Si1 Si 0.166 0.000 0.331
Se1 Se 0.000 0.500 0.500
Se2 Se 0.164 0.000 0.835
S1 S 0.000 0.500 0.000
# uncorrected formation energy	-18.1	eV per formula unit
# total moment	0.00	μB/atom